DFT (PBE-GGA) results for a geometry-optimized ZrCd2N structure.

## Properties
E_tot: -4.564 eV per atom
Crystal system: tetragonal
Formation energy from raw total energies: 2.58 kcal/mol of atoms
DOS(E_F): 4.74 states/eV per cell

Cell: 6.3150 6.3150 6.3150 Å, 97.02 97.02 139.09°
Last column: nearest neighbours and their distance in Å.
Element x y z (fractional)
Zr (0.0000, 0.0000, 0.0000)  2 N 2.21
Zr (0.7500, 0.2500, 0.5000)  2 N 2.21
Cd (0.2186, 0.6250, 0.0936)  2 N 2.53, 2 Cd 2.71
Cd (0.3750, 0.4686, 0.5936)  2 N 2.53, 2 Cd 2.71
Cd (0.5314, 0.1250, 0.9064)  2 N 2.53, 2 Cd 2.71
Cd (0.8750, 0.7814, 0.4064)  2 N 2.53, 2 Cd 2.71
N (0.2500, 0.7500, 0.5000)  2 Zr 2.21
N (0.5000, 0.5000, 0.0000)  2 Zr 2.21